VASP calculation (PBE) on KTlP2 after structural relaxation.

Excess energy over the best structure of this formula in the dataset, meV per atom: 467

Cell and atoms, written as extended XYZ:
```
16
Lattice="7.998 0.000 0.000 0.000 7.998 0.000 0.000 0.000 6.512" Properties=species:S:1:pos:R:3 pbc="T T T"
K 0.000 0.000 0.000
K 0.000 3.999 1.628
K 3.999 0.000 4.884
K 3.999 3.999 3.256
Tl 0.000 0.000 3.256
Tl 0.000 3.999 4.884
Tl 3.999 0.000 1.628
Tl 3.999 3.999 0.000
P 1.582 2.000 4.070
P 2.000 5.581 5.698
P 2.000 6.417 2.442
P 2.418 2.000 0.814
P 5.581 5.999 0.814
P 5.999 1.582 2.442
P 5.999 2.418 5.698
P 6.417 5.999 4.070
```

---

VASP calculation (PBE) on Tb2PmTh6 after structural relaxation.

Total DFT energy (no corrections), Ha/atom: -0.2358

Cell and atoms, written as extended XYZ:
```
9
Lattice="3.546 0.000 0.000 -1.773 3.071 0.000 0.000 0.000 27.067" Properties=species:S:1:pos:R:3 pbc="T T T"
Tb 0.000 0.000 4.594
Tb 0.000 0.000 22.474
Pm 0.000 2.047 13.534
Th 0.000 0.000 10.494
Th 0.000 0.000 16.573
Th 0.000 2.047 1.659
Th 0.000 2.047 7.566
Th 0.000 2.047 19.501
Th 0.000 2.047 25.408
```

---

VASP calculation (PBE) on CuSeBr after structural relaxation.

Total DFT energy (no corrections), Ha/atom: -0.1106

Cell and atoms, written as extended XYZ:
```
6
Lattice="3.487 0.000 0.000 0.000 3.487 0.000 0.000 0.000 11.529" Properties=species:S:1:pos:R:3 pbc="T T T"
Cu 0.000 0.000 0.000
Cu 1.743 1.743 5.765
Se 0.000 0.000 5.131
Se 1.743 1.743 10.896
Br 0.000 0.000 2.433
Br 1.743 1.743 8.198
```

---

VASP calculation (PBE) on BaYAl2 after structural relaxation.

Excess energy over the best structure of this formula in the dataset, meV per atom: 535

Cell and atoms, written as extended XYZ:
```
16
Lattice="8.705 0.000 0.000 0.000 8.705 0.000 0.000 0.000 6.850" Properties=species:S:1:pos:R:3 pbc="T T T"
Ba 0.000 0.000 0.000
Ba 0.000 4.353 1.713
Ba 4.353 0.000 5.138
Ba 4.353 4.353 3.425
Y 0.000 0.000 3.425
Y 0.000 4.353 5.138
Y 4.353 0.000 1.713
Y 4.353 4.353 0.000
Al 1.861 2.176 4.281
Al 2.176 6.214 5.994
Al 2.176 6.844 2.569
Al 2.491 2.176 0.856
Al 6.214 6.529 0.856
Al 6.529 1.861 2.569
Al 6.529 2.491 5.994
Al 6.844 6.529 4.281
```

---

VASP calculation (PBE) on PmHfO4 after structural relaxation.

Total DFT energy (no corrections), Ha/atom: -0.3264

Cell and atoms, written as extended XYZ:
```
12
Lattice="-2.725 2.725 5.392 2.725 -2.725 5.392 2.725 2.725 -5.392" Properties=species:S:1:pos:R:3 pbc="T T T"
Pm 0.000 0.000 0.000
Pm 0.000 0.000 5.392
Hf 2.725 0.000 3.001
Hf 0.000 2.725 3.001
O 4.055 1.330 -1.517
O 1.330 1.396 -1.517
O 3.520 0.795 1.270
O 0.795 1.931 1.270
O 1.396 1.330 3.875
O -1.330 1.396 3.875
O 1.931 0.795 6.662
O -0.795 1.931 6.662
```

---

VASP calculation (PBE) on Sr2AlNi after structural relaxation.

Total DFT energy (no corrections), Ha/atom: -0.1191

Cell and atoms, written as extended XYZ:
```
4
Lattice="3.498 0.000 0.000 0.000 3.498 0.000 0.000 0.000 9.019" Properties=species:S:1:pos:R:3 pbc="T T T"
Sr 0.000 0.000 0.000
Sr 1.749 1.749 3.623
Al 0.000 0.000 5.937
Ni 1.749 1.749 6.720
```

---

VASP calculation (PBE) on La2RhPbO6 after structural relaxation.

Total DFT energy (no corrections), Ha/atom: -0.2635

Cell and atoms, written as extended XYZ:
```
20
Lattice="5.739 0.000 0.000 0.000 6.160 0.000 -5.620 0.000 8.372" Properties=species:S:1:pos:R:3 pbc="T T T"
La -0.106 0.409 2.120
La -2.916 2.671 6.306
La 3.034 3.489 2.066
La 0.224 5.751 6.252
Rh -2.810 0.000 4.186
Rh 0.000 3.080 0.000
Pb 2.869 0.000 0.000
Pb 0.059 3.080 4.186
O -4.697 1.352 7.710
O -1.887 1.728 3.524
O -3.936 4.156 7.877
O -1.126 5.084 3.691
O -2.021 0.390 6.062
O 0.790 2.690 1.876
O -0.671 3.470 6.496
O 2.139 5.770 2.310
O 1.244 1.076 4.681
O 4.054 2.004 0.495
O 2.006 4.432 4.848
O 4.816 4.808 0.662
```

---

VASP calculation (PBE) on NbTc after structural relaxation.

Total DFT energy (no corrections), Ha/atom: -0.3625

Cell and atoms, written as extended XYZ:
```
12
Lattice="4.367 0.000 0.000 0.000 9.990 0.000 0.000 0.000 5.227" Properties=species:S:1:pos:R:3 pbc="T T T"
Nb 0.000 0.000 0.000
Nb 0.000 4.995 2.614
Nb 2.184 1.548 1.964
Nb 2.184 3.447 4.578
Nb 2.184 6.543 4.578
Nb 2.184 8.442 1.964
Tc 0.000 0.000 2.510
Tc 0.000 2.460 3.487
Tc 0.000 2.535 0.874
Tc 0.000 4.995 5.124
Tc 0.000 7.455 0.874
Tc 0.000 7.530 3.487
```

---

VASP calculation (PBE) on BaNi3S3 after structural relaxation.

Total DFT energy (no corrections), Ha/atom: -0.1944

Cell and atoms, written as extended XYZ:
```
14
Lattice="8.360 0.000 0.000 -4.180 7.240 0.000 0.000 0.000 4.219" Properties=species:S:1:pos:R:3 pbc="T T T"
Ba 0.000 4.827 1.055
Ba 4.180 2.413 3.164
Ni -0.573 1.533 1.055
Ni -2.566 6.970 1.055
Ni 1.041 1.262 3.164
Ni 3.139 5.978 1.055
Ni 6.746 0.270 3.164
Ni 4.753 5.707 3.164
S -0.885 2.430 3.164
S -1.633 6.791 3.164
S 1.662 1.981 1.055
S 2.518 5.259 3.164
S 5.813 0.449 1.055
S 5.065 4.810 1.055
```

---

VASP calculation (PBE) on Th2RuRh after structural relaxation.

Total DFT energy (no corrections), Ha/atom: -0.3170

Cell and atoms, written as extended XYZ:
```
8
Lattice="6.134 0.000 0.000 0.000 4.048 0.000 -2.542 0.000 7.417" Properties=species:S:1:pos:R:3 pbc="T T T"
Th 0.270 1.012 3.238
Th -0.970 1.012 6.877
Th 4.561 3.036 0.540
Th 3.321 3.036 4.179
Ru 0.091 3.036 5.221
Ru 3.500 1.012 2.196
Rh 1.369 3.036 1.492
Rh 2.222 1.012 5.925
```

---

Per-record magnetization, μB/f.u.: 0.0, 0.0, 0.0, 0.0, 1.0, 0.0, 0.0, 0.0, 0.0, 0.0